[1]
A plane-wave DFT calculation with GGA-PBE was carried out for a geometry-optimized Sr2CaPbSe4 structure.

DOS(E_F)   0.0 states/eV/cell
Calculated volume   29.857 Å³/atom

a = 4.3822 Å, b = 7.6224 Å, c = 7.5843 Å
α = 109.46°, β = 90.00°, γ = 90.00°
Closest atoms and distances in Å follow each position.
Fractional coordinates of all 8 atoms:
Sr 0.5000 0.0000 0.5000  6 Se 3.16
Sr 0.0000 0.5000 0.5000  6 Se 3.10
Ca 0.5000 0.5000 0.0000  6 Se 3.04-3.05
Pb 0.0000 0.0000 0.0000  6 Se 3.11
Se 0.5000 0.2556 0.2459  1 Ca 3.04, 3 Sr 3.10-3.16, 2 Pb 3.11
Se 0.5000 0.7444 0.7541  1 Ca 3.04, 3 Sr 3.10-3.16, 2 Pb 3.11
Se 0.0000 0.2587 0.7587  2 Ca 3.05, 3 Sr 3.10-3.16, 1 Pb 3.11
Se 0.0000 0.7413 0.2413  2 Ca 3.05, 3 Sr 3.10-3.16, 1 Pb 3.11


[2]
A plane-wave DFT calculation with GGA-PBE was carried out for a geometry-optimized SrCa2PbSe4 structure.

DOS(E_F)   0.0 states/eV/cell
Calculated volume   28.624 Å³/atom

a = 4.3178 Å, b = 7.5202 Å, c = 7.4774 Å
α = 70.59°, β = 90.00°, γ = 90.00°
Closest atoms and distances in Å follow each position.
Fractional coordinates of all 8 atoms:
Sr 0.0000 0.5000 0.5000  6 Se 3.12
Ca 0.0000 0.0000 0.0000  6 Se 3.00
Ca 0.5000 0.0000 0.5000  6 Se 3.00-3.01
Pb 0.5000 0.5000 0.0000  6 Se 3.12
Se 0.0000 0.7642 0.7452  3 Ca 3.00, 2 Pb 3.12, 1 Sr 3.12
Se 0.0000 0.2358 0.2548  3 Ca 3.00, 2 Pb 3.12, 1 Sr 3.12
Se 0.5000 0.7636 0.2455  3 Ca 3.00-3.01, 2 Sr 3.12, 1 Pb 3.12
Se 0.5000 0.2364 0.7545  3 Ca 3.00-3.01, 2 Sr 3.12, 1 Pb 3.12


[3]
A plane-wave DFT calculation with GGA-PBE was carried out for a geometry-optimized SrCaPb2Se4 structure.

DOS(E_F)   0.0 states/eV/cell
Calculated volume   29.614 Å³/atom

a = 4.3679 Å, b = 7.6003 Å, c = 7.5637 Å
α = 70.65°, β = 90.00°, γ = 90.00°
Closest atoms and distances in Å follow each position.
Fractional coordinates of all 8 atoms:
Sr 0.5000 0.5000 0.0000  6 Se 3.09-3.10
Ca 0.0000 0.5000 0.5000  6 Se 3.03-3.04
Pb 0.0000 0.0000 0.0000  6 Se 3.15-3.16
Pb 0.5000 0.0000 0.5000  6 Se 3.09-3.10
Se 0.0000 0.7446 0.7450  1 Ca 3.03, 2 Sr 3.09, 3 Pb 3.10-3.16
Se 0.0000 0.2554 0.2550  1 Ca 3.03, 2 Sr 3.09, 3 Pb 3.10-3.16
Se 0.5000 0.7409 0.2594  2 Ca 3.04, 3 Pb 3.09-3.15, 1 Sr 3.10
Se 0.5000 0.2591 0.7406  2 Ca 3.04, 3 Pb 3.09-3.15, 1 Sr 3.10


[4]
A plane-wave DFT calculation with GGA-PBE was carried out for a geometry-optimized CaTaPbSe2 structure.

DOS(E_F)   6.1 states/eV/cell
Calculated volume   34.352 Å³/atom

a = 5.5101 Å, b = 5.6573 Å, c = 5.5101 Å
α = 90.00°, β = 90.00°, γ = 90.00°
Closest atoms and distances in Å follow each position.
Fractional coordinates of all 5 atoms:
Pb 0.0000 0.0000 0.0000  4 Se 2.76, 2 Ca 2.83
Ca 0.0000 0.5000 0.0000  2 Pb 2.83
Se 0.0000 0.0000 0.5000  2 Pb 2.76
Se 0.5000 0.0000 0.0000  2 Pb 2.76
Ta 0.5000 0.5000 0.5000  4 Ca 3.90, 8 Se 3.95


[5]
A plane-wave DFT calculation with GGA-PBE was carried out for a geometry-optimized Ca2TbPbSe4 structure.

DOS(E_F)   3.2 states/eV/cell
Calculated volume   26.799 Å³/atom

a = 4.2066 Å, b = 7.3855 Å, c = 7.3134 Å
α = 109.34°, β = 90.00°, γ = 90.00°
Closest atoms and distances in Å follow each position.
Fractional coordinates of all 8 atoms:
Ca 0.5000 0.0000 0.5000  6 Se 3.02-3.04
Ca 0.0000 0.5000 0.5000  6 Se 2.94-2.95
Tb 0.5000 0.5000 0.0000  6 Se 2.95-2.96
Pb 0.0000 0.0000 0.0000  6 Se 3.04
Se 0.5000 0.2626 0.2552  3 Ca 2.94-3.04, 1 Tb 2.95, 2 Pb 3.04
Se 0.5000 0.7374 0.7448  3 Ca 2.94-3.04, 1 Tb 2.95, 2 Pb 3.04
Se 0.0000 0.2582 0.7504  3 Ca 2.95-3.02, 2 Tb 2.96, 1 Pb 3.04
Se 0.0000 0.7418 0.2496  3 Ca 2.95-3.02, 2 Tb 2.96, 1 Pb 3.04


[6]
A plane-wave DFT calculation with GGA-PBE was carried out for a geometry-optimized CaTcPb2Se structure.

DOS(E_F)   4.3 states/eV/cell
Calculated volume   30.540 Å³/atom

a = 5.7641 Å, b = 4.5959 Å, c = 5.7641 Å
α = 90.00°, β = 90.00°, γ = 90.00°
Closest atoms and distances in Å follow each position.
Fractional coordinates of all 5 atoms:
Pb 0.0000 0.0000 0.5000  2 Se 2.88
Pb 0.5000 0.0000 0.0000  2 Se 2.88
Ca 0.5000 0.5000 0.5000  8 Pb 3.69, 4 Tc 4.08
Tc 0.0000 0.5000 0.0000  2 Se 2.30
Se 0.0000 0.0000 0.0000  2 Tc 2.30


[7]
A plane-wave DFT calculation with GGA-PBE was carried out for a geometry-optimized CaUPb2Se6 structure.

Calculated volume   31.178 Å³/atom

a = 7.4626 Å, b = 7.4626 Å, c = 7.7687 Å
α = 61.30°, β = 61.30°, γ = 60.00°
Closest atoms and distances in Å follow each position.
Fractional coordinates of all 10 atoms:
Ca 0.8202 0.8202 0.5395  6 Se 2.93-3.00
U 0.3251 0.3250 0.0249  6 Se 2.70-2.72
Pb 0.5237 0.5237 0.4290  6 Se 3.08-3.11
Pb 0.0173 0.0173 0.9480  6 Se 3.04-3.10
Se 0.5708 0.1975 0.2563  1 U 2.70, 1 Ca 3.00
Se 0.1975 0.9755 0.2564  1 U 2.70, 1 Ca 3.00
Se 0.9754 0.5708 0.2563  1 U 2.70, 1 Ca 3.00
Se 0.4375 0.6854 0.7682  1 U 2.72, 1 Ca 2.93, 1 Pb 3.04
Se 0.6854 0.1089 0.7682  1 U 2.72, 1 Ca 2.93, 1 Pb 3.04
Se 0.1089 0.4375 0.7682  1 U 2.72, 1 Ca 2.93, 1 Pb 3.04


[8]
A plane-wave DFT calculation with GGA-PBE was carried out for a geometry-optimized CaPbW2Se structure.

DOS(E_F)   5.0 states/eV/cell
Calculated volume   32.863 Å³/atom

a = 5.2432 Å, b = 5.9769 Å, c = 5.2432 Å
α = 90.00°, β = 90.00°, γ = 90.00°
Closest atoms and distances in Å follow each position.
Fractional coordinates of all 5 atoms:
Pb 0.0000 0.0000 0.0000  4 W 2.62
Ca 0.0000 0.5000 0.0000  2 Pb 2.99
Se 0.5000 0.5000 0.5000  4 Ca 3.71, 8 W 3.98
W 0.0000 0.0000 0.5000  2 Pb 2.62
W 0.5000 0.0000 0.0000  2 Pb 2.62


[9]
A plane-wave DFT calculation with GGA-PBE was carried out for a geometry-optimized Ca2YPbSe4 structure.

DOS(E_F)   3.2 states/eV/cell
Calculated volume   26.783 Å³/atom

a = 4.2048 Å, b = 7.3842 Å, c = 7.3129 Å
α = 109.33°, β = 90.00°, γ = 90.00°
Closest atoms and distances in Å follow each position.
Fractional coordinates of all 8 atoms:
Ca 0.5000 0.0000 0.5000  6 Se 3.02-3.05
Ca 0.0000 0.5000 0.5000  6 Se 2.94-2.95
Y 0.5000 0.5000 0.0000  6 Se 2.95-2.96
Pb 0.0000 0.0000 0.0000  6 Se 3.04
Se 0.5000 0.2628 0.2549  3 Ca 2.94-3.05, 1 Y 2.95, 2 Pb 3.04
Se 0.5000 0.7372 0.7451  3 Ca 2.94-3.05, 1 Y 2.95, 2 Pb 3.04
Se 0.0000 0.2584 0.7507  3 Ca 2.95-3.02, 2 Y 2.96, 1 Pb 3.04
Se 0.0000 0.7416 0.2493  3 Ca 2.95-3.02, 2 Y 2.96, 1 Pb 3.04


[10]
A plane-wave DFT calculation with GGA-PBE was carried out for a geometry-optimized CaSiPb2 structure.

DOS(E_F)   1.6 states/eV/cell
Calculated volume   27.586 Å³/atom

a = 3.5930 Å, b = 3.5930 Å, c = 8.5473 Å
α = 90.00°, β = 90.00°, γ = 90.00°
Closest atoms and distances in Å follow each position.
Fractional coordinates of all 4 atoms:
Ca 0.5000 0.5000 0.7090  4 Si 3.11
Pb 0.0000 0.0000 0.9999  4 Ca 3.55, 8 Pb 3.56-3.59
Pb 0.5000 0.5000 0.2924  4 Si 3.09
Si 0.0000 0.0000 0.4987  4 Pb 3.09, 4 Ca 3.11


[11]
A plane-wave DFT calculation with GGA-PBE was carried out for a geometry-optimized Ca4SiPb structure.

DOS(E_F)   7.9 states/eV/cell
Calculated volume   32.147 Å³/atom

a = 6.4854 Å, b = 6.4854 Å, c = 6.4854 Å
α = 60.00°, β = 60.00°, γ = 60.00°
Closest atoms and distances in Å follow each position.
Fractional coordinates of all 6 atoms:
Ca 0.8759 0.3747 0.3747  6 Ca 3.23-3.25
Ca 0.3747 0.3747 0.8759  6 Ca 3.23-3.25
Ca 0.3747 0.8759 0.3747  6 Ca 3.23-3.25
Ca 0.3747 0.3747 0.3747  6 Ca 3.23-3.25
Si 0.0000 0.0000 0.0000  12 Ca 3.80, 4 Pb 3.97
Pb 0.7500 0.7500 0.7500  12 Ca 3.80, 4 Si 3.97


[12]
A plane-wave DFT calculation with GGA-PBE was carried out for a geometry-optimized Ca2SiPb structure.

Polymorph energy (0 for the lowest one)   0.17 eV/f.u.
DOS(E_F)   0.9 states/eV/cell
Calculated volume   25.979 Å³/atom

a = 4.8110 Å, b = 4.8110 Å, c = 4.4895 Å
α = 90.00°, β = 90.00°, γ = 90.00°
Closest atoms and distances in Å follow each position.
Fractional coordinates of all 4 atoms:
Ca 0.0000 0.0000 0.0000  4 Pb 3.29, 4 Si 3.29, 4 Ca 3.40
Ca 0.5000 0.5000 0.0000  4 Pb 3.29, 4 Si 3.29, 4 Ca 3.40
Pb 0.5000 0.0000 0.5000  8 Ca 3.29, 4 Si 3.40
Si 0.0000 0.5000 0.5000  8 Ca 3.29, 4 Pb 3.40


Number 1: E_form (uncorrected) -1289 kJ/mol of formula units. Number 2: E_form (uncorrected) -1282 kJ/mol of formula units. Number 3: E_form (uncorrected) -992 kJ/mol of formula units. Number 4: E_form (uncorrected) 591 kJ/mol of formula units. Number 5: E_form (uncorrected) -1184 kJ/mol of formula units. Number 6: E_form (uncorrected) 175 kJ/mol of formula units. Number 7: E_form (uncorrected) -926 kJ/mol of formula units. Number 8: E_form (uncorrected) 992 kJ/mol of formula units. Number 9: E_form (uncorrected) -1185 kJ/mol of formula units. Number 10: E_form (uncorrected) -3 kJ/mol of formula units. Number 11: E_form (uncorrected) 214 kJ/mol of formula units. Number 12: E_form (uncorrected) -135 kJ/mol of formula units.